# V2TcMoRh

A relaxed structure of V2TcMoRh (GGA-PBE, the Alexandria database).

Values from the calculation:
**Calculated formation energy**: 7.388 eV per formula unit
**Size of the total moment**: 0.16 μB per atom
**Symmetry**: No. 123

Unit cell a=4.4799 b=4.4799 c=4.6420 alpha=90.00 beta=90.00 gamma=90.00
Fractional positions:
V  0.0000  0.5000  0.0000
V  0.5000  0.0000  0.0000
Tc  0.0000  0.0000  0.5000
Mo  0.5000  0.5000  0.0000
Rh  0.5000  0.5000  0.5000

# Te2MoRh

A relaxed structure of Te2MoRh (GGA-PBE, the Alexandria database).

Values from the calculation:
**E above lowest polymorph**: 0 meV per atom
**Size of the total moment**: 0.25 μB per atom
**Formation energy from raw total energies**: -0.11 eV/atom
**Symmetry**: No. 6

Unit cell a=4.0904 b=4.0890 c=6.5589 alpha=90.00 beta=90.29 gamma=90.00
Fractional positions:
Te  0.0000  0.0000  0.0000
Te  0.4955  0.5000  0.4789
Mo  0.4978  0.0000  0.7395
Rh  0.9977  0.5000  0.7395

# TeMo2Rh

A relaxed structure of TeMo2Rh (GGA-PBE, the Alexandria database).

Values from the calculation:
**Size of the total moment**: 0.00 μB per atom
**Formation energy from raw total energies**: 0.28 eV/atom
**Symmetry**: No. 47

Unit cell a=3.4893 b=4.1598 c=4.6472 alpha=90.00 beta=90.00 gamma=90.00
Fractional positions:
Te  0.0000  0.0000  0.0000
Mo  0.0000  0.5000  0.5000
Mo  0.5000  0.0000  0.5000
Rh  0.5000  0.5000  0.0000

# TeMo2Rh

A relaxed structure of TeMo2Rh (GGA-PBE, the Alexandria database).

Values from the calculation:
**Size of the total moment**: 0.00 μB per atom
**Formation energy from raw total energies**: 0.23 eV/atom
**Symmetry**: No. 12

Unit cell a=5.0805 b=5.0805 c=4.4351 alpha=100.15 beta=100.15 gamma=37.46
Fractional positions:
Te  0.0000  0.0000  0.0000
Mo  0.2445  0.2445  0.7213
Mo  0.7555  0.7555  0.2787
Rh  0.5000  0.5000  0.5000

# TeMo2Rh

A relaxed structure of TeMo2Rh (GGA-PBE, the Alexandria database).

Values from the calculation:
**Size of the total moment**: 0.00 μB per atom
**Formation energy from raw total energies**: 0.28 eV/atom
**Symmetry**: No. 139

Unit cell a=5.0841 b=5.0841 c=5.0841 alpha=134.34 beta=134.34 gamma=66.56
Fractional positions:
Te  0.0000  0.0000  0.0000
Mo  0.2500  0.7500  0.5000
Mo  0.7500  0.2500  0.5000
Rh  0.5000  0.5000  0.0000

# TeMo2Rh

A relaxed structure of TeMo2Rh (GGA-PBE, the Alexandria database).

Values from the calculation:
**Size of the total moment**: 0.57 μB per atom
**Formation energy from raw total energies**: 0.40 eV/atom
**Symmetry**: No. 216

Unit cell a=4.5831 b=4.5831 c=4.5831 alpha=60.00 beta=60.00 gamma=60.00
Fractional positions:
Te  0.0000  0.0000  0.0000
Mo  0.2500  0.2500  0.2500
Mo  0.5000  0.5000  0.5000
Rh  0.7500  0.7500  0.7500

# TeMo2Rh

A relaxed structure of TeMo2Rh (GGA-PBE, the Alexandria database).

Values from the calculation:
**Size of the total moment**: 0.00 μB per atom
**Formation energy from raw total energies**: 0.20 eV/atom
**Symmetry**: No. 99

Unit cell a=3.2856 b=3.2856 c=6.3933 alpha=90.00 beta=90.00 gamma=90.00
Fractional positions:
Te  0.0000  0.0000  0.0000
Mo  0.0000  0.0000  0.5004
Mo  0.5000  0.5000  0.2651
Rh  0.5000  0.5000  0.7171

# Te2MoRh

A relaxed structure of Te2MoRh (GGA-PBE, the Alexandria database).

Values from the calculation:
**E above lowest polymorph**: 90 meV per atom
**Size of the total moment**: 0.00 μB per atom
**Formation energy from raw total energies**: -0.02 eV/atom
**Symmetry**: No. 99

Unit cell a=3.5700 b=3.5700 c=7.2886 alpha=90.00 beta=90.00 gamma=90.00
Fractional positions:
Te  0.0000  0.0000  0.0000
Te  0.5000  0.5000  0.4732
Mo  0.0000  0.0000  0.6401
Rh  0.5000  0.5000  0.8440

# TeMo2Rh

A relaxed structure of TeMo2Rh (GGA-PBE, the Alexandria database).

Values from the calculation:
**Size of the total moment**: 0.00 μB per atom
**Formation energy from raw total energies**: 0.27 eV/atom
**Symmetry**: No. 38

Unit cell a=4.2448 b=5.5680 c=5.5680 alpha=30.75 beta=90.00 gamma=90.00
Fractional positions:
Te  0.0000  0.0000  0.0000
Mo  0.0000  0.2492  0.2492
Mo  0.5000  0.6165  0.6165
Rh  0.5000  0.8630  0.8630

# TeMo2Rh

A relaxed structure of TeMo2Rh (GGA-PBE, the Alexandria database).

Values from the calculation:
**Size of the total moment**: 0.18 μB per atom
**Formation energy from raw total energies**: 0.28 eV/atom
**Symmetry**: No. 119

Unit cell a=4.9498 b=4.9498 c=4.9498 alpha=131.68 beta=131.68 gamma=70.74
Fractional positions:
Te  0.0000  0.0000  0.0000
Mo  0.2500  0.7500  0.5000
Mo  0.5000  0.5000  0.0000
Rh  0.7500  0.2500  0.5000

# TeMo2Rh

A relaxed structure of TeMo2Rh (GGA-PBE, the Alexandria database).

Values from the calculation:
**Size of the total moment**: 0.00 μB per atom
**Formation energy from raw total energies**: 0.42 eV/atom
**Symmetry**: No. 166

Unit cell a=8.8483 b=8.8483 c=8.8483 alpha=19.61 beta=19.61 gamma=19.61
Fractional positions:
Te  0.0000  0.0000  0.0000
Mo  0.2482  0.2482  0.2482
Mo  0.7518  0.7518  0.7518
Rh  0.5000  0.5000  0.5000

# Te2MoRh

A relaxed structure of Te2MoRh (GGA-PBE, the Alexandria database).

Values from the calculation:
**E above lowest polymorph**: 250 meV per atom
**Size of the total moment**: 0.00 μB per atom
**Formation energy from raw total energies**: 0.14 eV/atom
**Symmetry**: No. 10

Unit cell a=3.3745 b=3.3781 c=6.5870 alpha=90.00 beta=90.19 gamma=90.00
Fractional positions:
Te  0.0022  0.0000  0.2462
Te  0.9978  0.0000  0.7538
Mo  0.5000  0.5000  0.0000
Rh  0.5000  0.5000  0.5000